VASP calculation (PBE) on a relaxed KLiY2S4 crystal.

Space-group type ... No. 63

Cell lengths 4.0308, 7.0204, 13.9523 Å; angles 90.00, 90.00, 106.68 degrees
Element x y z (fractional)
K: 0.1073 0.2147 0.7500
K: 0.8927 0.7853 0.2500
S: 0.4257 0.8514 0.7500
S: 0.7377 0.4755 0.8922
S: 0.0000 0.0000 0.5000
S: 0.5743 0.1486 0.2500
S: 0.2623 0.5245 0.3922
S: 0.7377 0.4755 0.6078
S: 0.0000 0.0000 0.0000
S: 0.2623 0.5245 0.1078
Y: 0.6340 0.2681 0.0613
Y: 0.3660 0.7319 0.9387
Y: 0.6340 0.2681 0.4387
Y: 0.3660 0.7319 0.5613
Li: 0.1664 0.3327 0.2500
Li: 0.8336 0.6673 0.7500

VASP calculation (PBE) on a relaxed K2LiZnS crystal.

Space-group type ... No. 123

Cell lengths 6.6685, 4.6174, 6.6685 Å; angles 90.00, 90.00, 90.00 degrees
Element x y z (fractional)
K: 0.0000 0.0000 0.5000
K: 0.5000 0.0000 0.0000
S: 0.0000 0.5000 0.0000
Zn: 0.0000 0.0000 0.0000
Li: 0.5000 0.5000 0.5000

VASP calculation (PBE) on a relaxed KLiZnS2 crystal.

Space-group type ... No. 67

Cell lengths 5.8091, 5.8428, 7.4524 Å; angles 113.08, 90.00, 90.00 degrees
Element x y z (fractional)
Zn: 0.0000 0.5000 0.0000
Zn: 0.0000 0.0000 0.0000
S: 0.2662 0.3907 0.7814
S: 0.7338 0.6093 0.2186
S: 0.2662 0.1093 0.2186
S: 0.7338 0.8907 0.7814
Li: 0.5000 0.7500 0.0000
Li: 0.5000 0.2500 0.0000
K: 0.7624 0.2500 0.5000
K: 0.2376 0.7500 0.5000

VASP calculation (PBE) on a relaxed KLiZn2S crystal.

Space-group type ... No. 123

Cell lengths 4.6965, 5.8181, 4.6965 Å; angles 90.00, 90.00, 90.00 degrees
Element x y z (fractional)
Zn: 0.0000 0.0000 0.5000
Zn: 0.5000 0.0000 0.0000
Li: 0.0000 0.0000 0.0000
K: 0.0000 0.5000 0.0000
S: 0.5000 0.5000 0.5000

One value per record, in order, for energy relative to the elements, uncorrected: -42.833; -1.623; -23.083; 4.975 kcal/mol of atoms.
One value per record, in order, for E_tot: -47.31; -9.86; -17.55; -8.61 eV per formula unit.